# 1
First-principles (PBE) data for an optimized crystal structure of Pm4C2Br5, as listed in Alexandria.

Lattice parameters (Å, degrees): 3.8913 8.2509 9.9007 104.25 101.33 90.00
Atoms (fractional coordinates):
Br1 0.1678 0.3325 0.3356
Br2 0.8322 0.6675 0.6644
Br3 0.8401 0.1319 0.6803
Br4 0.1599 0.8681 0.3197
Br5 0.5000 0.0000 0.0000
C1 0.4625 0.4772 0.9251
C2 0.5375 0.5228 0.0749
Pm1 0.0000 0.7009 0.0000
Pm2 0.6565 0.6002 0.3129
Pm3 0.0000 0.2991 0.0000
Pm4 0.3435 0.3998 0.6871

raw formation energy: -15.06 eV/f.u.
M_tot: 0.00 μB/cell
D(E_F): 0.62 states/eV/f.u.

=====

# 2
First-principles (PBE) data for an optimized crystal structure of Ac2TlHg5, as listed in Alexandria.

Lattice parameters (Å, degrees): 4.9923 9.5806 10.1491 90.00 90.00 105.10
Atoms (fractional coordinates):
Ac1 0.0000 0.0000 0.5000
Ac2 0.2055 0.4110 0.2500
Ac3 0.0000 0.0000 0.0000
Ac4 0.7945 0.5890 0.7500
Hg1 0.3531 0.7062 0.9697
Hg2 0.1896 0.3791 0.8977
Hg3 0.8104 0.6209 0.1023
Hg4 0.1896 0.3791 0.6023
Hg5 0.3531 0.7062 0.5303
Hg6 0.3948 0.7896 0.2500
Hg7 0.6052 0.2104 0.7500
Hg8 0.6469 0.2938 0.4697
Hg9 0.8104 0.6209 0.3977
Hg10 0.6469 0.2938 0.0303
Tl1 0.4517 0.9034 0.7500
Tl2 0.5483 0.0966 0.2500

M_tot: 0.00 μB/cell
ΔE to the lowest computed polymorph: 30 meV/atom
formation energy: -316 meV per atom
D(E_F): 6.14 states/eV/f.u.

=====

# 3
First-principles (PBE) data for an optimized crystal structure of BaAgAuCl6, as listed in Alexandria.

Lattice parameters (Å, degrees): 6.9449 6.9435 6.4952 89.99 89.99 60.00
Each line ends with the local moment (μB).
Atoms (fractional coordinates):
Cl1 0.6212 0.3587 0.7228  0.15
Cl2 0.3587 0.0201 0.7229  0.15
Cl3 0.3587 0.6211 0.2770  0.15
Cl4 0.0201 0.6212 0.7229  0.15
Cl5 0.6211 0.0201 0.2771  0.15
Cl6 0.0201 0.3588 0.2771  0.15
Ba1 0.9999 0.0000 0.0000  0.01
Au1 0.3333 0.3334 0.5000  0.65
Ag1 0.6667 0.6666 0.5001  0.07

raw formation energy: -8.47 eV/f.u.
M_tot: 1.92 μB/cell
D(E_F): 4.56 states/eV/f.u.